Compound: TbY2Tl
Source: Alexandria via LeMat-Bulk
Functional: PBE
Structure: optimized geometry

It has space group P4/mmm (No. 123), with a = 4.8857 Å, b = 4.8857 Å, c = 4.8415 Å, α = 90.00°, β = 90.00° and γ = 90.00°. The distinct sites, in fractional coordinates, are Tb at (0.0000, 0.0000, 0.0000), Y at (0.0000, 0.5000, 0.5000) and Tl at (0.5000, 0.5000, 0.0000).

As for the energy of formation from the pure elements: -192 meV per atom. As for the total magnetization: 1.177 μB per formula unit. The excess energy over the best structure of this formula in the dataset is 9 meV per atom.

Compound: Tb3Y2Tl
Source: Alexandria via LeMat-Bulk
Functional: PBE
Structure: optimized geometry

It has space group Immm (No. 71), with a = 5.7816 Å, b = 6.4300 Å, c = 10.2009 Å, α = 90.00°, β = 90.00° and γ = 90.00°. The distinct sites, in fractional coordinates, are Tb at (0.0000, 0.0000, 0.0000), Tb at (0.0000, 0.0000, 0.3472), Y at (0.0000, 0.5000, 0.3143) and Tl at (0.0000, 0.5000, 0.0000).

As for the energy of formation from the pure elements: 228 meV per atom. As for the total magnetization: 0.005 μB per formula unit. The excess energy over the best structure of this formula in the dataset is 339 meV per atom.

Compound: Tb12Y3Tl
Source: Alexandria via LeMat-Bulk
Functional: PBE
Structure: optimized geometry

It has space group P4/mmm (No. 123), with a = 4.9741 Å, b = 4.9741 Å, c = 20.2585 Å, α = 90.00°, β = 90.00° and γ = 90.00°. The distinct sites, in fractional coordinates, are Tb at (0.0000, 0.0000, 0.0000), Tb at (0.0000, 0.0000, 0.2452), Tb at (0.0000, 0.0000, 0.5000), Tb at (0.0000, 0.5000, 0.1214), Tb at (0.0000, 0.5000, 0.3736), Y at (0.5000, 0.5000, 0.2486), Y at (0.5000, 0.5000, 0.5000) and Tl at (0.5000, 0.5000, 0.0000).

As for the energy of formation from the pure elements: -26 meV per atom. As for the total magnetization: 0.001 μB per formula unit.

Compound: Tb12Y7Tl
Source: Alexandria via LeMat-Bulk
Functional: PBE
Structure: optimized geometry

It has space group R-3 (No. 148, hexagonal axes), with a = 12.1110 Å, b = 12.1110 Å, c = 15.2997 Å, α = 90.00°, β = 90.00° and γ = 120.00°. The distinct sites, in fractional coordinates, are Tb at (0.0307, 0.4525, 0.2098), Tb at (0.0574, 0.5870, 0.5860), Y at (0.0000, 0.0000, 0.0000), Y at (0.0506, 0.1872, 0.3016) and Tl at (0.0000, 0.0000, 0.5000).

As for the energy of formation from the pure elements: 166 meV per atom. As for the total magnetization: 0.024 μB per formula unit.

Compound: TbYTl
Source: Alexandria via LeMat-Bulk
Functional: PBE
Structure: optimized geometry

It has space group P3m1 (No. 156), with a = 3.6394 Å, b = 3.6394 Å, c = 7.9848 Å, α = 90.00°, β = 90.00° and γ = 120.00°. The distinct sites, in fractional coordinates, are Tb at (0.0000, 0.0000, 0.0000), Y at (0.6667, 0.3333, 0.6421) and Tl at (0.3333, 0.6667, 0.3217).

As for the energy of formation from the pure elements: -159 meV per atom. As for the total magnetization: 0.866 μB per formula unit. The excess energy over the best structure of this formula in the dataset is 123 meV per atom.

Compound: TbY6Tl
Source: Alexandria via LeMat-Bulk
Functional: PBE
Structure: optimized geometry

It has space group R-3 (No. 148, hexagonal axes), with a = 9.2852 Å, b = 9.2852 Å, c = 10.1706 Å, α = 90.00°, β = 90.00° and γ = 120.00°. The distinct sites, in fractional coordinates, are Tb at (0.0000, 0.0000, 0.0000), Y at (0.0219, 0.7659, 0.7195) and Tl at (0.0000, 0.0000, 0.5000).

As for the energy of formation from the pure elements: 4 meV per atom. As for the total magnetization: 0.001 μB per formula unit. The excess energy over the best structure of this formula in the dataset is 80 meV per atom.